# Pr4ZrZn5

Crystalline Pr4ZrZn5 at its relaxed geometry (PBE, Alexandria via LeMat-Bulk).

Structure (POSCAR):
```
Pr4ZrZn5
1.0
-0.959 1.369 3.221
3.021 -1.362 1.478
8.893 15.462 -3.924
Pr Zr Zn
4 1 5
Direct
0.000 0.000 0.186
0.000 0.000 0.395
0.000 0.000 0.605
0.000 0.000 0.814
0.000 0.000 0.000
0.500 0.500 0.078
0.500 0.500 0.292
0.500 0.500 0.500
0.500 0.500 0.708
0.500 0.500 0.922
```

Its space group is P4/mmm (123). The total magnetization comes out at 0.001 μB/f.u. The calculation puts the energy of formation at -0.264 eV/atom.